1.
InRhW2 (GGA-PBE, optimized geometry); DFT formation energy = 343 meV per atom
1.0
0.646 3.747 3.516
-0.842 -4.812 1.720
2.756 -0.480 0.005
W In Rh
2 1 1
Cartesian
-0.421 -2.406 0.860
0.323 1.873 1.758
1.378 -0.240 0.003
1.280 -0.773 2.621

***

2.
InRh2W (GGA-PBE, optimized geometry); DFT formation energy = -46 meV per atom
1.0
-3.331 -3.066 -1.543
-3.081 -0.491 3.625
1.649 3.986 -2.066
In Rh W
1 2 1
Cartesian
-3.206 -1.778 1.041
-2.319 0.858 1.300
-2.444 -0.429 -1.284
0.000 0.000 0.000

***

3.
In2RhW (GGA-PBE, optimized geometry); DFT formation energy = 458 meV per atom
1.0
-2.088 2.088 4.133
2.088 -2.088 4.133
2.088 2.088 -4.133
W Rh In
1 1 2
Cartesian
0.000 0.000 0.000
0.000 0.000 4.133
0.000 2.088 2.066
2.088 0.000 2.066

***

4.
In2RhW (GGA-PBE, optimized geometry); DFT formation energy = 248 meV per atom
1.0
-1.453 2.383 5.474
1.453 -2.383 5.474
1.453 2.383 -5.474
In W Rh
2 1 1
Cartesian
0.000 0.000 10.728
1.453 0.000 3.077
0.000 2.383 2.395
0.000 0.000 5.696

***

5.
In2RhW (GGA-PBE, optimized geometry); DFT formation energy = 532 meV per atom
1.0
0.000 3.317 3.317
3.317 0.000 3.317
3.317 3.317 0.000
W In Rh
1 2 1
Cartesian
1.659 1.659 1.659
4.976 4.976 4.976
0.000 0.000 0.000
3.317 3.317 3.317

***

6.
InRhW2 (GGA-PBE, optimized geometry); DFT formation energy = 180 meV per atom
1.0
-1.704 2.111 4.590
1.704 -2.111 4.590
1.704 2.111 -4.590
In Rh W
1 1 2
Cartesian
1.704 0.000 0.000
0.000 2.111 0.000
0.000 0.000 6.855
0.000 0.000 2.326

***

7.
Zn2InRhW (GGA-PBE, optimized geometry); DFT formation energy = 1097 meV per atom
1.0
4.692 0.000 0.000
0.000 4.981 0.000
0.000 0.000 4.692
Rh Zn In W
1 2 1 1
Cartesian
0.000 0.000 0.000
0.000 0.000 2.346
2.346 0.000 0.000
0.000 2.491 0.000
2.346 2.491 2.346

***

8.
YIn3Rh (GGA-PBE, optimized geometry); DFT formation energy = -430 meV per atom
1.0
6.702 -0.073 0.000
-0.178 5.715 0.000
0.000 0.000 6.022
In Y Rh
6 2 2
Cartesian
5.870 2.361 1.505
5.188 5.024 2.996
0.655 3.282 4.516
5.188 5.024 0.015
1.337 0.619 6.006
1.337 0.619 3.026
4.062 2.065 4.516
2.463 3.577 1.505
2.949 4.739 4.516
3.576 0.903 1.505